# DyIn2MoO8, optimized geometry, DFT PBE+U
# DFT total energy (eV per cell): -78.7
# Total moment (μB/f.u.): 0.9
# Calculated density (kg/m3): 6295
# Crystal system: orthorhombic
data_DyIn2MoO8
_cell_length_a 4.940
_cell_length_b 4.940
_cell_length_c 6.660
_cell_angle_alpha 90.00
_cell_angle_beta 90.00
_cell_angle_gamma 90.85
_space_group_name_H-M_alt 'P 1'
_space_group_IT_number 1
loop_
_space_group_symop_operation_xyz
'x,y,z'
loop_
_atom_site_label
_atom_site_type_symbol
_atom_site_fract_x
_atom_site_fract_y
_atom_site_fract_z
_atom_site_occupancy
Dy1 Dy 0.000 0.000 0.000 1
In1 In 0.500 0.500 0.257 1
In2 In 0.500 0.500 0.743 1
Mo1 Mo 0.000 0.000 0.500 1
O1 O 0.186 0.814 0.286 1
O2 O 0.186 0.814 0.714 1
O3 O 0.287 0.287 0.500 1
O4 O 0.314 0.314 0.000 1
O5 O 0.686 0.686 0.000 1
O6 O 0.713 0.713 0.500 1
O7 O 0.814 0.186 0.286 1
O8 O 0.814 0.186 0.714 1